Entry from Alexandria: crystalline TlTe2IrN at its relaxed geometry (GGA-PBE).

Output
E: -4.9685 eV per atom
Energy above the most stable polymorph in this dataset: 0 meV/atom

extended XYZ file:
```
5
Lattice="-2.220 -5.227 -0.940 4.550 -2.398 2.586 -1.749 0.162 3.227" Properties=species:S:1:pos:R:3 pbc="T T T"
Tl 0.290 -3.731 2.436
Te 2.275 -1.199 1.293
Te -1.110 -2.614 -0.470
N -0.874 0.081 1.614
Ir 0.000 0.000 0.000
```



Entry from Alexandria: crystalline TlTeIrN2 at its relaxed geometry (GGA-PBE).

Output
E: -3.9243 eV per atom
Energy above the most stable polymorph in this dataset: 1324 meV/atom

extended XYZ file:
```
5
Lattice="4.100 0.000 0.000 0.000 4.100 0.000 0.000 0.000 6.722" Properties=species:S:1:pos:R:3 pbc="T T T"
N 0.000 2.050 0.000
N 2.050 0.000 0.000
Te 0.000 0.000 3.361
Ir 2.050 2.050 3.361
Tl 0.000 0.000 0.000
```



Entry from Alexandria: crystalline TlTeIrN2 at its relaxed geometry (GGA-PBE).

Output
E: -5.2479 eV per atom
Energy above the most stable polymorph in this dataset: 0 meV/atom

extended XYZ file:
```
5
Lattice="-2.138 -0.552 -3.321 3.027 -2.038 -1.610 -2.153 -4.942 2.208" Properties=species:S:1:pos:R:3 pbc="T T T"
N 1.514 -1.019 -0.805
N -1.069 -0.276 -1.661
Tl -0.632 -3.766 -1.362
Ir 0.000 0.000 0.000
Te -1.076 -2.471 1.104
```



Uncorrected formation energy, record by record: 19.17; 219.95; 92.25 kJ/mol of atoms
D(E_F), record by record: 0.7931; 0.5504; 0.5502 states/eV per atom
Spin magnetization, record by record: 0.0; 3.7; 0.0 Bohr magnetons per cell